Density functional theory data (PBE with a Hubbard U) for a relaxed structure of AgHg2WF6.

Output
E_tot: -80.5 eV/cell
N(E_F): 0.039 states/eV per atom

Geometry as CIF:
```
data_AgHg2WF6
_space_group_name_H-M_alt 'P 1'
_space_group_IT_number 1
_space_group_name_Hall 'P 1'
_cell_length_a 5.6707
_cell_length_b 7.9781
_cell_length_c 8.3607
_cell_angle_alpha 90.00
_cell_angle_beta 90.00
_cell_angle_gamma 90.00
loop_
_atom_site_label
_atom_site_type_symbol
_atom_site_fract_x
_atom_site_fract_y
_atom_site_fract_z
Ag1 Ag 0.0000 0.5968 0.5000
Ag2 Ag 0.5000 0.4032 0.0000
Hg1 Hg 0.5000 0.5175 0.3229
Hg2 Hg 0.0000 0.4825 0.8229
Hg3 Hg 0.5000 0.5175 0.6771
Hg4 Hg 0.0000 0.4825 0.1771
W1 W 0.5000 0.0242 0.5000
W2 W 0.0000 0.9758 0.0000
F1 F 0.5000 0.0208 0.2740
F2 F 0.5000 0.0208 0.7260
F3 F 0.0000 0.9792 0.2260
F4 F 0.0000 0.9792 0.7740
F5 F 0.2652 0.8396 0.5000
F6 F 0.7348 0.8396 0.5000
F7 F 0.2659 0.2041 0.5000
F8 F 0.7341 0.2041 0.5000
F9 F 0.7659 0.7959 0.0000
F10 F 0.2341 0.7959 0.0000
F11 F 0.2348 0.1604 0.0000
F12 F 0.7652 0.1604 0.0000
```